## w
Pr6Nd3Hg | Alexandria via LeMat-Bulk | PBE-GGA | relaxed; volume = 689.70 Å³/cell; SG = P2_1/m
1.0
9.242 0.000 0.000
0.000 5.809 0.000
-3.505 0.000 12.847
Pr Nd Hg
12 6 2
direct
0.079 0.250 0.304
0.092 0.250 0.815
0.142 0.750 0.480
0.283 0.250 0.105
0.337 0.750 0.760
0.355 0.750 0.282
0.645 0.250 0.718
0.663 0.250 0.240
0.717 0.750 0.895
0.858 0.250 0.520
0.908 0.750 0.185
0.921 0.750 0.696
0.108 0.750 0.974
0.433 0.250 0.445
0.499 0.750 0.067
0.501 0.250 0.933
0.567 0.750 0.555
0.892 0.250 0.026
0.253 0.250 0.620
0.747 0.750 0.380


## x
Pr6Nd3Hg | Alexandria via LeMat-Bulk | PBE-GGA | relaxed; volume = 706.63 Å³/cell; SG = Pnnm
1.0
10.699 0.000 0.000
0.000 12.190 0.000
0.000 0.000 5.418
Pr Nd Hg
12 6 2
direct
0.072 0.246 0.000
0.171 0.078 0.500
0.221 0.385 0.500
0.279 0.885 0.000
0.329 0.578 0.000
0.428 0.746 0.500
0.572 0.254 0.500
0.671 0.422 0.000
0.721 0.115 0.000
0.779 0.615 0.500
0.829 0.922 0.500
0.928 0.754 0.000
0.000 0.500 0.000
0.118 0.709 0.500
0.382 0.209 0.000
0.500 0.000 0.500
0.618 0.791 0.000
0.882 0.291 0.500
0.000 0.000 0.000
0.500 0.500 0.500


Least stable = x